a.
Compound: PrZrIn
Source: the Alexandria database
Functional: PBE-GGA
Structure: relaxed

Its volume is 26.7 Å³ per atom. The mass density is 7.2 g cm⁻³. Its space group is No. 107.

Cell lengths 3.3201, 3.3201, 7.6436 Å; angles 102.54, 102.54, 90.00 degrees
With the nearest neighbours (Å) after each atom.
Atoms (fractional coordinates):
Pr (0.0040, 0.0040, 0.0080)  4 Pr 3.32, 4 In 3.43, 4 Zr 3.56
In (0.6759, 0.6759, 0.3519)  4 Zr 3.15, 4 In 3.32, 4 Pr 3.43
Zr (0.3201, 0.3201, 0.6402)  4 In 3.15, 4 Zr 3.32

b.
Compound: PrZrIn
Source: the Alexandria database
Functional: PBE-GGA
Structure: relaxed

Its volume is 25.8 Å³ per atom. The mass density is 7.4 g cm⁻³. Its space group is No. 156.

Cell lengths 3.1906, 5.2930, 5.2930 Å; angles 120.00, 90.00, 90.00 degrees
With the nearest neighbours (Å) after each atom.
Atoms (fractional coordinates):
Zr (0.1646, 0.3333, 0.6667)  3 Pr 3.06, 2 Zr 3.19
In (0.6677, 0.6667, 0.3333)  2 In 3.19, 6 Zr 3.44-3.45, 6 Pr 3.45
Pr (0.1677, 0.0000, 0.0000)  3 Zr 3.06, 2 Pr 3.19

Energies in meV/atom, measured from the most stable structure: a 0; b 196.